Entry 1:
# GGA-PBE Al7Cd, optimized geometry
# E_tot (eV/cell): -106.1
# Formation energy (meV/atom): 75
# Total magnetization (μB/atom): 0.000
data_Al7Cd
_symmetry_space_group_name_H-M 'F m -3 m'
_symmetry_Int_Tables_number 225
_symmetry_space_group_name_Hall '-F 4 2 3'
_cell_length_a 8.236
_cell_length_b 8.236
_cell_length_c 8.236
_cell_angle_alpha 90.00
_cell_angle_beta 90.00
_cell_angle_gamma 90.00
loop_
_atom_site_label
_atom_site_type_symbol
_atom_site_fract_x
_atom_site_fract_y
_atom_site_fract_z
_atom_site_occupancy
Al1 Al 0.000 0.000 0.000 1
Al2 Al 0.000 0.250 0.250 1
Cd1 Cd 0.000 0.000 0.500 1

Entry 2:
# GGA-PBE Cs2K2Rb4Au, optimized geometry
# E_tot (eV/cell): -23.2
# Formation energy (meV/atom): -64
# Total magnetization (μB/atom): 0.000
data_Cs2K2Rb4Au
_symmetry_space_group_name_H-M 'C 1 2/m 1'
_symmetry_Int_Tables_number 12
_symmetry_space_group_name_Hall '-C 2y'
_cell_length_a 17.493
_cell_length_b 10.120
_cell_length_c 8.169
_cell_angle_alpha 90.00
_cell_angle_beta 90.22
_cell_angle_gamma 90.00
loop_
_atom_site_label
_atom_site_type_symbol
_atom_site_fract_x
_atom_site_fract_y
_atom_site_fract_z
_atom_site_occupancy
Cs1 Cs 0.170 0.000 0.250 1
K1 K 0.155 0.500 0.243 1
Rb1 Rb 0.081 0.261 0.751 1
Au1 Au 0.000 0.500 0.000 1